# Cd2FeH2, relaxed, DFT PBE-GGA
data_Cd2FeH2
_chemical_formula_sum 'Cd2 Fe1 H2'
_symmetry_space_group_name_H-M 'P 1'
_symmetry_Int_Tables_number 1
_cell_length_a 2.9918
_cell_length_b 2.9918
_cell_length_c 7.3189
_cell_angle_alpha 78.21
_cell_angle_beta 78.21
_cell_angle_gamma 90.00
loop_
_symmetry_equiv_pos_as_xyz
'x,y,z'
loop_
_atom_site_label
_atom_site_type_symbol
_atom_site_fract_x
_atom_site_fract_y
_atom_site_fract_z
_atom_site_occupancy
H1 H 0.7500 0.2500 0.5000 1
Fe1 Fe 0.0000 0.0000 0.0000 1
Cd1 Cd 0.6377 0.6377 0.7245 1
Cd2 Cd 0.3623 0.3623 0.2755 1
H2 H 0.2500 0.7500 0.5000 1
# total moment	2.575	Bohr magnetons per cell
# D(E_F)	2.3	states/eV/cell
# energy above the most stable polymorph in this dataset	172	meV per atom
# SG	I4/mmm